The following is a PBE calculation of an optimized crystal structure of Nb2PCl, from Alexandria via LeMat-Bulk.

Summary:
Formation energy without anion corrections = -201 meV/atom
Distance to the lowest polymorph of the same formula = 0 meV/atom
Crystal system = cubic
Symmetry = Fm-3m, No. 225
M_tot = 1.05 μB per formula unit
Density of states at the Fermi level = 4.9 states/eV/cell

Cell: 4.455 4.455 4.455 Å, 60.00 60.00 60.00°
Element x y z (fractional)
Nb 0.250 0.250 0.250
Nb 0.750 0.750 0.750
P 0.000 0.000 0.000
Cl 0.500 0.500 0.500

***

The following is a PBE calculation of an optimized crystal structure of SrLiCdPb2, from Alexandria via LeMat-Bulk.

Summary:
Distance to the lowest polymorph of the same formula = 0 meV/atom
Crystal system = tetragonal
Symmetry = I-4m2, No. 119
M_tot = 0.00 μB per formula unit
Density of states at the Fermi level = 1.7 states/eV/cell
ΔH_f (0 K) = -0.328 eV/atom

Cell: 7.314 7.314 7.314 Å, 142.00 142.00 54.83°
Element x y z (fractional)
Sr 0.000 0.000 0.000
Li 0.750 0.250 0.500
Cd 0.250 0.750 0.500
Pb 0.384 0.384 0.000
Pb 0.616 0.616 0.000

***

The following is a PBE calculation of an optimized crystal structure of Ca2FeNi, from Alexandria via LeMat-Bulk.

Summary:
Distance to the lowest polymorph of the same formula = 446 meV/atom
Crystal system = trigonal
Symmetry = R-3m, No. 166
M_tot = 2.55 μB per formula unit
Density of states at the Fermi level = 3.8 states/eV/cell
ΔH_f (0 K) = 0.580 eV/atom

Cell: 8.961 8.961 8.961 Å, 22.14 22.14 22.14°
Element x y z (fractional)
Ca 0.242 0.242 0.242
Ca 0.758 0.758 0.758
Fe 0.000 0.000 0.000
Ni 0.500 0.500 0.500

***

The following is a PBE calculation of an optimized crystal structure of Ce2HgBi, from Alexandria via LeMat-Bulk.

Summary:
Distance to the lowest polymorph of the same formula = 0 meV/atom
Crystal system = tetragonal
Symmetry = P4/mmm, No. 123
M_tot = 3.11 μB per formula unit
Density of states at the Fermi level = 14.2 states/eV/cell
ΔH_f (0 K) = -0.487 eV/atom

Cell: 5.192 5.192 4.333 Å, 90.00 90.00 90.00°
Element x y z (fractional)
Ce 0.000 0.500 0.000
Ce 0.500 0.000 0.000
Hg 0.000 0.000 0.500
Bi 0.500 0.500 0.500

***

The following is a PBE calculation of an optimized crystal structure of TcRhCl, from Alexandria via LeMat-Bulk.

Summary:
Formation energy without anion corrections = 276 meV/atom
Distance to the lowest polymorph of the same formula = 89 meV/atom
Crystal system = tetragonal
Symmetry = I4mm, No. 107
M_tot = 0.00 μB per formula unit
Density of states at the Fermi level = 3.4 states/eV/cell

Cell: 6.161 6.161 6.161 Å, 153.00 153.00 38.56°
Element x y z (fractional)
Tc 0.000 0.000 0.000
Rh 0.640 0.640 0.000
Cl 0.353 0.353 0.000

***

The following is a PBE calculation of an optimized crystal structure of HgBiW2, from Alexandria via LeMat-Bulk.

Summary:
Distance to the lowest polymorph of the same formula = 81 meV/atom
Crystal system = cubic
Symmetry = Fm-3m, No. 225
M_tot = 0.00 μB per formula unit
Density of states at the Fermi level = 3.1 states/eV/cell
ΔH_f (0 K) = 1.235 eV/atom

Cell: 4.764 4.764 4.764 Å, 60.00 60.00 60.00°
Element x y z (fractional)
Hg 0.000 0.000 0.000
Bi 0.500 0.500 0.500
W 0.250 0.250 0.250
W 0.750 0.750 0.750

***

The following is a PBE calculation of an optimized crystal structure of LiScIn, from Alexandria via LeMat-Bulk.

Summary:
Crystal system = cubic
Symmetry = F-43m, No. 216
M_tot = 0.00 μB per formula unit
Density of states at the Fermi level = 3.6 states/eV/cell
ΔH_f (0 K) = 0.001 eV/atom

Cell: 4.534 4.534 4.534 Å, 60.00 60.00 60.00°
Element x y z (fractional)
Li 0.000 0.000 0.000
Sc 0.250 0.250 0.250
In 0.750 0.750 0.750

***

The following is a PBE calculation of an optimized crystal structure of Zr2MoI2, from Alexandria via LeMat-Bulk.

Summary:
Formation energy without anion corrections = 812 meV/atom
Distance to the lowest polymorph of the same formula = 262 meV/atom
Crystal system = tetragonal
Symmetry = I4/mmm, No. 139
M_tot = 5.39 μB per formula unit
Density of states at the Fermi level = 3.0 states/eV/cell

Cell: 8.412 8.412 8.412 Å, 150.70 150.70 41.92°
Element x y z (fractional)
Zr 0.250 0.750 0.500
Zr 0.750 0.250 0.500
Mo 0.000 0.000 0.000
I 0.385 0.385 0.000
I 0.615 0.615 0.000

***

The following is a PBE calculation of an optimized crystal structure of InHg3I4, from Alexandria via LeMat-Bulk.

Summary:
Formation energy without anion corrections = -307 meV/atom
Crystal system = monoclinic
Symmetry = P2_1/m, No. 11
M_tot = 0.00 μB per formula unit

Cell: 7.593 12.936 7.671 Å, 90.00 111.92 90.00°
Element x y z (fractional)
In 0.020 0.250 0.434
In 0.980 0.750 0.566
Hg 0.275 0.750 0.202
Hg 0.408 0.574 0.068
Hg 0.408 0.926 0.068
Hg 0.592 0.074 0.932
Hg 0.592 0.426 0.932
Hg 0.725 0.250 0.798
I 0.121 0.073 0.298
I 0.121 0.427 0.298
I 0.159 0.250 0.825
I 0.372 0.750 0.656
I 0.628 0.250 0.344
I 0.841 0.750 0.175
I 0.879 0.573 0.702
I 0.879 0.927 0.702

***

The following is a PBE calculation of an optimized crystal structure of DyPu2Ru9, from Alexandria via LeMat-Bulk.

Summary:
Crystal system = trigonal
Symmetry = R-3m, No. 166
M_tot = 6.54 μB per formula unit
Density of states at the Fermi level = 26.6 states/eV/cell
ΔH_f (0 K) = -0.035 eV/atom

Cell: 9.344 9.344 9.344 Å, 32.35 32.35 32.35°
Element x y z (fractional)
Dy 0.000 0.000 0.000
Pu 0.141 0.141 0.141
Pu 0.859 0.859 0.859
Ru 0.078 0.584 0.584
Ru 0.335 0.335 0.335
Ru 0.416 0.416 0.922
Ru 0.416 0.922 0.416
Ru 0.500 0.500 0.500
Ru 0.584 0.078 0.584
Ru 0.584 0.584 0.078
Ru 0.665 0.665 0.665
Ru 0.922 0.416 0.416

***

The following is a PBE calculation of an optimized crystal structure of OsSeCl, from Alexandria via LeMat-Bulk.

Summary:
Formation energy without anion corrections = 234 meV/atom
Crystal system = tetragonal
Symmetry = I4mm, No. 107
M_tot = 0.00 μB per formula unit
Density of states at the Fermi level = 3.0 states/eV/cell

Cell: 7.382 7.382 7.382 Å, 155.52 155.52 34.90°
Element x y z (fractional)
Os 0.000 0.000 0.000
Se 0.585 0.585 0.000
Cl 0.838 0.838 0.000

***

The following is a PBE calculation of an optimized crystal structure of PmNdPd, from Alexandria via LeMat-Bulk.

Summary:
Distance to the lowest polymorph of the same formula = 0 meV/atom
Crystal system = hexagonal
Symmetry = P-62m, No. 189
M_tot = 0.00 μB per formula unit
Density of states at the Fermi level = 11.2 states/eV/cell
ΔH_f (0 K) = -0.477 eV/atom

Cell: 7.638 7.638 4.943 Å, 90.00 90.00 120.00°
Element x y z (fractional)
Pm 0.000 0.597 0.000
Pm 0.403 0.403 0.000
Pm 0.597 0.000 0.000
Nd 0.000 0.265 0.500
Nd 0.265 0.000 0.500
Nd 0.735 0.735 0.500
Pd 0.000 0.000 0.000
Pd 0.333 0.667 0.500
Pd 0.667 0.333 0.500

***

The following is a PBE calculation of an optimized crystal structure of MnV3Sb, from Alexandria via LeMat-Bulk.

Summary:
Formation energy without anion corrections = 523 meV/atom
Distance to the lowest polymorph of the same formula = 0 meV/atom
Crystal system = cubic
Symmetry = Pm-3m, No. 221
M_tot = 0.00 μB per formula unit
Density of states at the Fermi level = 6.5 states/eV/cell

Cell: 4.356 4.356 4.356 Å, 90.00 90.00 90.00°
Element x y z (fractional)
Mn 0.000 0.000 0.000
V 0.000 0.000 0.500
V 0.000 0.500 0.000
V 0.500 0.000 0.000
Sb 0.500 0.500 0.500

***

The following is a PBE calculation of an optimized crystal structure of Cd2AgAu, from Alexandria via LeMat-Bulk.

Summary:
Distance to the lowest polymorph of the same formula = 3 meV/atom
Crystal system = orthorhombic
Symmetry = Cmcm, No. 63
M_tot = 0.00 μB per formula unit
Density of states at the Fermi level = 1.8 states/eV/cell
ΔH_f (0 K) = -0.127 eV/atom

Cell: 5.909 5.909 4.622 Å, 90.00 90.00 103.36°
Element x y z (fractional)
Cd 0.112 0.331 0.250
Cd 0.331 0.112 0.750
Cd 0.669 0.888 0.250
Cd 0.888 0.669 0.750
Ag 0.385 0.615 0.750
Ag 0.615 0.385 0.250
Au 0.173 0.827 0.250
Au 0.827 0.173 0.750

***

The following is a PBE calculation of an optimized crystal structure of Ti2VHgGe, from Alexandria via LeMat-Bulk.

Summary:
Crystal system = tetragonal
Symmetry = P4/mmm, No. 123
M_tot = 0.50 μB per formula unit
Density of states at the Fermi level = 8.2 states/eV/cell
ΔH_f (0 K) = 1.604 eV/atom

Cell: 4.994 4.994 4.787 Å, 90.00 90.00 90.00°
Element x y z (fractional)
Ti 0.000 0.500 0.000
Ti 0.500 0.000 0.000
V 0.000 0.000 0.500
Hg 0.500 0.500 0.000
Ge 0.500 0.500 0.500

***

The following is a PBE calculation of an optimized crystal structure of HgOsW3, from Alexandria via LeMat-Bulk.

Summary:
Distance to the lowest polymorph of the same formula = 1610 meV/atom
Crystal system = cubic
Symmetry = Pm-3m, No. 221
M_tot = 0.00 μB per formula unit
Density of states at the Fermi level = 9.5 states/eV/cell
ΔH_f (0 K) = 3.531 eV/atom

Cell: 4.800 4.800 4.800 Å, 90.00 90.00 90.00°
Element x y z (fractional)
Hg 0.000 0.000 0.000
Os 0.500 0.500 0.500
W 0.000 0.000 0.500
W 0.000 0.500 0.000
W 0.500 0.000 0.000

***

The following is a PBE calculation of an optimized crystal structure of NdSmCu2S4, from Alexandria via LeMat-Bulk.

Summary:
Formation energy without anion corrections = -1213 meV/atom
Crystal system = orthorhombic
Symmetry = I222, No. 23
M_tot = 0.00 μB per formula unit
Density of states at the Fermi level = 1.5 states/eV/cell

Cell: 6.033 6.033 6.033 Å, 113.62 112.89 102.14°
Element x y z (fractional)
Nd 0.000 0.000 0.000
Sm 0.500 0.500 0.000
Cu 0.328 0.828 0.500
Cu 0.672 0.172 0.500
S 0.065 0.036 0.510
S 0.475 0.964 0.029
S 0.525 0.554 0.490
S 0.935 0.446 0.971

***

The following is a PBE calculation of an optimized crystal structure of Nd8Dy3Er, from Alexandria via LeMat-Bulk.

Summary:
Crystal system = monoclinic
Symmetry = C2/m, No. 12
M_tot = 0.00 μB per formula unit
Density of states at the Fermi level = 23.3 states/eV/cell
ΔH_f (0 K) = 0.113 eV/atom

Cell: 6.977 6.977 9.860 Å, 97.11 97.11 119.12°
Element x y z (fractional)
Nd 0.178 0.682 0.666
Nd 0.182 0.182 0.164
Nd 0.318 0.822 0.334
Nd 0.319 0.319 0.832
Nd 0.681 0.681 0.168
Nd 0.682 0.178 0.666
Nd 0.818 0.818 0.836
Nd 0.822 0.318 0.334
Dy 0.000 0.500 0.000
Dy 0.500 0.000 0.000
Dy 0.500 0.500 0.500
Er 0.000 0.000 0.500

***

The following is a PBE calculation of an optimized crystal structure of K2CuAu, from Alexandria via LeMat-Bulk.

Summary:
Distance to the lowest polymorph of the same formula = 0 meV/atom
Crystal system = trigonal
Symmetry = R3m, No. 160
M_tot = 0.00 μB per formula unit
Density of states at the Fermi level = 1.9 states/eV/cell
ΔH_f (0 K) = -0.059 eV/atom

Cell: 9.021 9.021 9.021 Å, 28.82 28.82 28.82°
Element x y z (fractional)
K 0.000 0.000 0.000
K 0.172 0.172 0.172
Cu 0.753 0.753 0.753
Au 0.419 0.419 0.419

***

The following is a PBE calculation of an optimized crystal structure of NaPr4Er3Se8, from Alexandria via LeMat-Bulk.

Summary:
Formation energy without anion corrections = -1759 meV/atom
Crystal system = trigonal
Symmetry = R-3m, No. 166
M_tot = 0.00 μB per formula unit
Density of states at the Fermi level = 8.0 states/eV/cell

Cell: 8.410 8.410 8.410 Å, 58.84 58.84 58.84°
Element x y z (fractional)
Na 0.000 0.000 0.000
Pr 0.000 0.000 0.500
Pr 0.000 0.500 0.000
Pr 0.500 0.000 0.000
Pr 0.500 0.500 0.500
Er 0.000 0.500 0.500
Er 0.500 0.000 0.500
Er 0.500 0.500 0.000
Se 0.245 0.245 0.741
Se 0.245 0.741 0.245
Se 0.257 0.257 0.257
Se 0.259 0.755 0.755
Se 0.741 0.245 0.245
Se 0.743 0.743 0.743
Se 0.755 0.259 0.755
Se 0.755 0.755 0.259

***

The following is a PBE calculation of an optimized crystal structure of TlSbTe2Cl, from Alexandria via LeMat-Bulk.

Summary:
Formation energy without anion corrections = 449 meV/atom
Distance to the lowest polymorph of the same formula = 0 meV/atom
Crystal system = tetragonal
Symmetry = P4/mmm, No. 123
M_tot = 0.57 μB per formula unit
Density of states at the Fermi level = 6.0 states/eV/cell

Cell: 5.724 5.724 5.247 Å, 90.00 90.00 90.00°
Element x y z (fractional)
Tl 0.000 0.000 0.000
Sb 0.500 0.500 0.000
Te 0.000 0.500 0.500
Te 0.500 0.000 0.500
Cl 0.500 0.500 0.500